A relaxed structure of Sr3MoPb. Source: Alexandria, functional PBE-GGA.

Output
E_tot, eV per atom: -3.199
Energy above the lowest structure with this stoichiometry, meV per atom: 0
Crystal system: cubic
Spin magnetization, μB/f.u.: 0.000
Density of states at the Fermi level, states/eV/f.u.: 7.0
Formation enthalpy at 0 K, eV per formula unit: 3.59
Volume, Å³/f.u.: 188

a = 5.731 Å, b = 5.731 Å, c = 5.731 Å
α = 90.00°, β = 90.00°, γ = 90.00°
Space group Pm-3m (No. 221)
One atom of each set of equivalent atoms:
Sr 0.000 0.000 0.500 x3
Mo 0.000 0.000 0.000 x1
Pb 0.500 0.500 0.500 x1